(1)
This record from Alexandria via LeMat-Bulk describes a relaxed LiLaGdIr crystal. The functional is PBE-GGA.

Cell lengths 5.0734, 5.0734, 5.0734 Å; angles 60.00, 60.00, 60.00 degrees
With the nearest neighbours (Å) after each atom.
Sites, in units of the cell vectors:
Li (0.0000, 0.0000, 0.0000)  4 Gd 3.11, 4 La 3.11
La (0.2500, 0.2500, 0.2500)  4 Li 3.11, 4 Ir 3.11
Gd (0.7500, 0.7500, 0.7500)  4 Ir 3.11, 4 Li 3.11
Ir (0.5000, 0.5000, 0.5000)  4 Gd 3.11, 4 La 3.11

## Properties
- theoretical density (g/cm3) = 8.91
- formation enthalpy at 0 K (kcal/mol of atoms) = -9.99
- DFT total energy (eV per atom) = -7.879
- DOS(E_F) (states/eV per cell) = 3.2
- space group = F-43m (216)



(2)
This record from Alexandria via LeMat-Bulk describes a relaxed Cr2ReP crystal. The functional is PBE-GGA.

Cell lengths 2.8066, 3.7619, 4.7640 Å; angles 90.00, 90.00, 90.00 degrees
With the nearest neighbours (Å) after each atom.
Sites, in units of the cell vectors:
Cr (0.0000, 0.0000, 0.2258)  1 Cr 2.15
Cr (0.0000, 0.0000, 0.7742)  1 Cr 2.15
Re (0.5000, 0.5000, 0.5000)  2 P 2.38
P (0.5000, 0.5000, 0.0000)  2 Re 2.38, 8 Cr 2.58

## Properties
- theoretical density (g/cm3) = 10.60
- formation enthalpy at 0 K (kcal/mol of atoms) = -1.43
- DFT total energy (eV per atom) = -9.338
- DOS(E_F) (states/eV per cell) = 3.2
- space group = Pmmm (47)



(3)
This record from Alexandria via LeMat-Bulk describes a relaxed NaZrZnP2 crystal. The functional is PBE-GGA.

Cell lengths 4.7807, 4.7807, 4.4020 Å; angles 90.00, 90.00, 90.00 degrees
With the nearest neighbours (Å) after each atom.
Sites, in units of the cell vectors:
Na (0.0000, 0.0000, 0.0000)  2 Zn 2.20, 4 P 2.39
Zr (0.5000, 0.5000, 0.5000)  8 P 3.25, 4 Zn 3.38
Zn (0.0000, 0.0000, 0.5000)  2 Na 2.20
P (0.0000, 0.5000, 0.0000)  2 Na 2.39
P (0.5000, 0.0000, 0.0000)  2 Na 2.39

## Properties
- theoretical density (g/cm3) = 3.99
- formation enthalpy at 0 K (kcal/mol of atoms) = 19.48
- DFT total energy (eV per atom) = -3.548
- DOS(E_F) (states/eV per cell) = 3.6
- space group = P4/mmm (123)



(4)
This record from Alexandria via LeMat-Bulk describes a relaxed GeINO2 crystal. The functional is PBE-GGA.

Cell lengths 4.1346, 4.1346, 4.2427 Å; angles 90.00, 90.00, 90.00 degrees
With the nearest neighbours (Å) after each atom.
Sites, in units of the cell vectors:
Ge (0.0000, 0.0000, 0.0000)  4 N 2.92, 8 O 2.96
I (0.5000, 0.5000, 0.5000)  4 O 2.07, 2 N 2.12
N (0.5000, 0.5000, 0.0000)  2 I 2.12
O (0.0000, 0.5000, 0.5000)  2 I 2.07
O (0.5000, 0.0000, 0.5000)  2 I 2.07

## Properties
- theoretical density (g/cm3) = 5.62
- DFT total energy (eV per atom) = -4.202
- energy relative to the elements, uncorrected (eV/atom) = 0.680
- DOS(E_F) (states/eV per cell) = 0.4
- space group = P4/mmm (123)



(5)
This record from Alexandria via LeMat-Bulk describes a relaxed TcOs2Pt crystal. The functional is PBE-GGA.

Cell lengths 6.7770, 6.7770, 6.7770 Å; angles 130.74, 130.74, 72.22 degrees
With the nearest neighbours (Å) after each atom.
Sites, in units of the cell vectors:
Tc (0.0000, 0.0000, 0.0000)  4 Os 2.40
Tc (0.7500, 0.2500, 0.5000)  4 Os 2.40
Os (0.1178, 0.6250, 0.9928)  2 Tc 2.40, 2 Pt 2.45
Os (0.3750, 0.3678, 0.4928)  2 Tc 2.40, 2 Pt 2.45
Os (0.6322, 0.1250, 0.0072)  2 Tc 2.40, 2 Pt 2.45
Os (0.8750, 0.8822, 0.5072)  2 Tc 2.40, 2 Pt 2.45
Pt (0.2500, 0.7500, 0.5000)  4 Os 2.45
Pt (0.5000, 0.5000, 0.0000)  4 Os 2.45

## Properties
- theoretical density (g/cm3) = 12.81
- formation enthalpy at 0 K (kcal/mol of atoms) = 27.99
- DFT total energy (eV per atom) = -8.503
- DOS(E_F) (states/eV per cell) = 4.5
- E above lowest polymorph (meV per atom) = 1185
- space group = I-42d (122)



(6)
This record from Alexandria via LeMat-Bulk describes a relaxed DyTmSeS crystal. The functional is PBE-GGA.

Cell lengths 7.2162, 7.2162, 7.2162 Å; angles 31.03, 31.03, 31.03 degrees
With the nearest neighbours (Å) after each atom.
Sites, in units of the cell vectors:
Dy (0.0000, 0.0000, 0.0000)  3 S 2.70, 3 Se 2.94
Tm (0.1849, 0.1849, 0.1849)  3 S 2.71, 3 Se 2.93
Se (0.4262, 0.4262, 0.4262)  3 Tm 2.93, 3 Dy 2.94
S (0.5928, 0.5928, 0.5928)  3 Dy 2.70, 3 Tm 2.71

## Properties
- theoretical density (g/cm3) = 8.29
- DFT total energy (eV per atom) = -6.023
- energy relative to the elements, uncorrected (eV/atom) = -1.851
- DOS(E_F) (states/eV per cell) = 0.8
- space group = R3m (160)